Record 1
Crystalline LiMnCd at its relaxed geometry, computed with PBE-GGA.

```
data_LiMnCd
_chemical_formula_sum 'Li1 Mn1 Cd1'
_space_group_name_H-M_alt 'P 1'
_space_group_IT_number 1
_cell_length_a 6.3009
_cell_length_b 6.3009
_cell_length_c 6.3009
_cell_angle_alpha 152.60
_cell_angle_beta 152.60
_cell_angle_gamma 39.14
loop_
_space_group_symop_operation_xyz
'x,y,z'
loop_
_atom_site_label
_atom_site_type_symbol
_atom_site_fract_x
_atom_site_fract_y
_atom_site_fract_z
Li1 Li 0.3325 0.3325 0.0000
Cd1 Cd 0.9990 0.9990 0.0000
Mn1 Mn 0.6685 0.6685 0.0000
```

Symmetry   I4mm, No. 107
E   -3.786 eV/atom
Magnetic moment   3.93 μB per formula unit
Polymorph energy (0 for the lowest one)   50 meV per atom
Crystal system   tetragonal
E_form   214 meV/atom



Record 2
Crystalline PaCdRu2 at its relaxed geometry, computed with PBE-GGA.

```
data_PaCdRu2
_chemical_formula_sum 'Pa1 Cd1 Ru2'
_space_group_name_H-M_alt 'P 1'
_space_group_IT_number 1
_cell_length_a 3.4083
_cell_length_b 3.4083
_cell_length_c 6.4450
_cell_angle_alpha 90.00
_cell_angle_beta 90.00
_cell_angle_gamma 90.00
loop_
_space_group_symop_operation_xyz
'x,y,z'
loop_
_atom_site_label
_atom_site_type_symbol
_atom_site_fract_x
_atom_site_fract_y
_atom_site_fract_z
Ru1 Ru 0.0000 0.0000 0.7763
Ru2 Ru 0.0000 0.0000 0.2237
Pa1 Pa 0.5000 0.5000 0.0000
Cd1 Cd 0.5000 0.5000 0.5000
```

Symmetry   P4/mmm, No. 123
E   -7.463 eV/atom
Magnetic moment   0.00 μB per formula unit
Crystal system   tetragonal
E_form   -223 meV/atom